No. 1
Material: PuHf2Zr3
Method: DFT, PBE
State: relaxed

The structure belongs to space group P2_1/m (No. 11); the cell edges are 8.881, 3.072 and 10.813 Å and the angles 90.00°, 107.57° and 90.00°. Symmetry generates all atoms from Pu at (0.207, 0.250, 0.370), Hf at (0.017, 0.250, 0.876), Hf at (0.108, 0.250, 0.618), Zr at (0.298, 0.250, 0.123), Zr at (0.390, 0.250, 0.873) and Zr at (0.432, 0.750, 0.612).

The calculation puts the spin magnetization at 10.41 Bohr magnetons per cell. The volume is 281.3 Å³ per cell. As for the final energy: -58.8 eV/f.u. The value obtained for the energy relative to the lowest polymorph listed for this composition is 0.117 eV per atom.

No. 2
Material: Mg4Sc5Ti
Method: DFT, PBE
State: relaxed

The structure belongs to space group P4/mmm (No. 123); the cell edges are 3.209, 3.209 and 22.148 Å and the angles 90.00°, 90.00° and 90.00°. Symmetry generates all atoms from Mg at (0.000, 0.000, 0.102), Mg at (0.000, 0.000, 0.305), Sc at (0.500, 0.500, 0.000), Sc at (0.500, 0.500, 0.203), Sc at (0.500, 0.500, 0.410) and Ti at (0.000, 0.000, 0.500).

The calculation puts the spin magnetization at 0.43 Bohr magnetons per cell. The volume is 228.1 Å³ per cell. As for the final energy: -46.0 eV/f.u.

Repeat the second record exactly.
Material: Mg4Sc5Ti
Method: DFT, PBE
State: relaxed

The structure belongs to space group P4/mmm (No. 123); the cell edges are 3.209, 3.209 and 22.148 Å and the angles 90.00°, 90.00° and 90.00°. Symmetry generates all atoms from Mg at (0.000, 0.000, 0.102), Mg at (0.000, 0.000, 0.305), Sc at (0.500, 0.500, 0.000), Sc at (0.500, 0.500, 0.203), Sc at (0.500, 0.500, 0.410) and Ti at (0.000, 0.000, 0.500).

The calculation puts the spin magnetization at 0.43 Bohr magnetons per cell. The volume is 228.1 Å³ per cell. As for the final energy: -46.0 eV/f.u.